GGA-PBE La2TbPa, relaxed; energy relative to the elements = 14.10 kJ per mole of atoms; distance to the lowest polymorph of the same formula = 0 meV per atom
1.0
3.471 0.000 0.000
0.000 3.471 0.000
0.000 0.000 10.457
La Tb Pa
2 1 1
Direct
0.000 0.000 0.228
0.000 0.000 0.772
0.500 0.500 0.500
0.500 0.500 0.000